Entry from Alexandria via LeMat-Bulk: LaScFe at its PBEsol-relaxed geometry (meta-GGA SCAN).

Values from the calculation:
- DFT total energy: -25.00 eV/atom
- Symmetry: No. 107
- E above lowest polymorph: 0 meV/atom
- Crystal system: tetragonal
- Volume: 21.55 A^3/atom

```
3
Lattice="-1.599 1.599 6.321 1.599 -1.599 6.321 1.599 1.599 -6.321" Properties=species:S:1:pos:R:3 pbc="T T T"
La 0.000 0.000 0.000
Sc 0.000 0.000 3.185
Fe 0.000 0.000 8.123
```